First-principles (GGA-PBE) data for crystalline Na3LaS3 at its relaxed geometry, as listed in the Alexandria database.

Cell lengths 8.2275, 8.2275, 8.2275 Å; angles 56.81, 56.81, 56.81 degrees
Last column: nearest neighbours and their distance in Å.
Fractional coordinates of all 14 atoms:
Na 0.8293 0.3903 0.1296  4 S 2.73-2.87
Na 0.1296 0.8293 0.3903  4 S 2.73-2.87
Na 0.3903 0.1296 0.8293  4 S 2.73-2.87
Na 0.6097 0.8704 0.1707  4 S 2.73-2.87
Na 0.8704 0.1707 0.6097  4 S 2.73-2.87
Na 0.1707 0.6097 0.8704  4 S 2.73-2.87
La 0.3330 0.3330 0.3330  6 S 2.89-2.98
La 0.6670 0.6670 0.6670  6 S 2.89-2.98
S 0.5390 0.2967 0.9292  4 Na 2.73-2.87, 2 La 2.89-2.98
S 0.2967 0.9292 0.5390  4 Na 2.73-2.87, 2 La 2.89-2.98
S 0.9292 0.5390 0.2967  4 Na 2.73-2.87, 2 La 2.89-2.98
S 0.0708 0.4610 0.7033  4 Na 2.73-2.87, 2 La 2.89-2.98
S 0.7033 0.0708 0.4610  4 Na 2.73-2.87, 2 La 2.89-2.98
S 0.4610 0.7033 0.0708  4 Na 2.73-2.87, 2 La 2.89-2.98

* formation energy from raw total energies: -1468 meV per atom